(1)
Below is crystalline ScInSi at its relaxed geometry, with properties calculated at the PBE level.

Structure (POSCAR):
```
ScInSi
1.0
1.8040 1.0416 11.7162
-1.8040 1.0416 11.7162
0.0000 -2.0831 11.7162
Sc In Si
2 2 2
Cartesian
0.0000 0.0000 3.5150
0.0000 0.0000 31.6336
0.0000 0.0000 12.8528
0.0000 0.0000 22.2958
0.0000 0.0000 6.4088
0.0000 0.0000 28.7398
```

Magnetic moment = 0.00 Bohr magnetons per cell
Energy above the lowest structure with this stoichiometry = 0 meV per atom
DFT total energy = -15.39 eV per formula unit
Formation energy from raw total energies = -0.30 eV per atom
Volume = 66.05 Å³/f.u.



(2)
Below is crystalline ScIn2Si at its relaxed geometry, with properties calculated at the PBE level.

Structure (POSCAR):
```
ScIn2Si
1.0
3.1611 0.0000 0.0000
0.0000 4.1219 0.0000
-0.1128 0.0000 7.0338
Sc In Si
1 2 1
Cartesian
0.0000 0.0000 0.0000
1.4634 2.0610 5.0626
1.6317 0.0000 2.8478
1.5820 2.0610 0.8746
```

Magnetic moment = 0.00 Bohr magnetons per cell
Energy above the lowest structure with this stoichiometry = 49 meV per atom
DFT total energy = -17.85 eV per formula unit
Formation energy from raw total energies = -0.15 eV per atom
Volume = 91.65 Å³/f.u.



(3)
Below is crystalline Sc2InSi at its relaxed geometry, with properties calculated at the PBE level.

Structure (POSCAR):
```
Sc2InSi
1.0
4.3188 0.0000 0.0000
0.0000 5.1634 0.0000
0.0000 0.0000 7.7871
Sc In Si
4 2 2
Cartesian
0.0000 0.0000 0.0000
0.0000 2.5817 2.3247
2.1594 0.0000 2.3247
2.1594 2.5817 0.0000
0.0000 0.0000 4.4467
2.1594 2.5817 4.4467
0.0000 2.5817 6.1931
2.1594 0.0000 6.1931
```

Magnetic moment = 0.00 Bohr magnetons per cell
DFT total energy = -21.26 eV per formula unit
Formation energy from raw total energies = -0.11 eV per atom
Volume = 86.83 Å³/f.u.



(4)
Below is crystalline Sc2InSi at its relaxed geometry, with properties calculated at the PBE level.

Structure (POSCAR):
```
Sc2InSi
1.0
3.4635 0.0000 0.0000
-1.7317 2.9995 0.0000
0.0000 0.0000 25.4800
Sc In Si
6 3 3
Cartesian
0.0000 0.0000 6.0444
0.0000 0.0000 19.4356
0.0000 1.9997 10.9422
0.0000 1.9997 23.0311
1.7317 0.9998 2.4489
1.7317 0.9998 14.5378
0.0000 0.0000 0.0000
0.0000 1.9997 16.9867
1.7317 0.9998 8.4933
0.0000 0.0000 12.7400
0.0000 1.9997 4.2467
1.7317 0.9998 21.2333
```

Magnetic moment = 0.00 Bohr magnetons per cell
DFT total energy = -22.39 eV per formula unit
Formation energy from raw total energies = -0.39 eV per atom
Volume = 88.23 Å³/f.u.



(5)
Below is crystalline ScInSi2 at its relaxed geometry, with properties calculated at the PBE level.

Structure (POSCAR):
```
ScInSi2
1.0
2.9591 0.0000 0.0000
0.0000 4.4424 0.0000
0.0000 0.0000 5.7552
Sc In Si
1 1 2
Cartesian
0.0000 0.0000 0.0000
1.4796 2.2212 1.7272
1.4796 0.0000 3.3465
1.4796 2.2212 4.6823
```

Magnetic moment = 0.00 Bohr magnetons per cell
Energy above the lowest structure with this stoichiometry = 95 meV per atom
DFT total energy = -20.20 eV per formula unit
Formation energy from raw total energies = -0.07 eV per atom
Volume = 75.66 Å³/f.u.



(6)
Below is crystalline ScIn2Si at its relaxed geometry, with properties calculated at the PBE level.

Structure (POSCAR):
```
ScIn2Si
1.0
4.2214 0.0000 0.0000
0.0000 4.2214 0.0000
0.0000 0.0000 9.3407
Sc In Si
2 4 2
Cartesian
0.0000 0.0000 0.0000
2.1107 2.1107 4.6704
0.0000 0.0000 4.6704
0.0000 2.1107 2.3352
2.1107 0.0000 7.0055
2.1107 2.1107 0.0000
0.0000 2.1107 7.0055
2.1107 0.0000 2.3352
```

Magnetic moment = 0.00 Bohr magnetons per cell
Energy above the lowest structure with this stoichiometry = 42 meV per atom
DFT total energy = -17.88 eV per formula unit
Formation energy from raw total energies = -0.16 eV per atom
Volume = 83.23 Å³/f.u.



(7)
Below is crystalline Sc2InSi at its relaxed geometry, with properties calculated at the PBE level.

Structure (POSCAR):
```
Sc2InSi
1.0
6.9496 0.0000 0.0000
0.0000 6.9496 0.0000
0.0000 0.0000 6.9496
Sc In Si
8 4 4
Cartesian
0.0000 0.0000 0.0000
0.0000 3.4748 3.4748
1.7374 1.7374 1.7374
1.7374 5.2122 5.2122
3.4748 0.0000 3.4748
3.4748 3.4748 0.0000
5.2122 1.7374 5.2122
5.2122 5.2122 1.7374
0.0000 0.0000 3.4748
0.0000 3.4748 0.0000
3.4748 0.0000 0.0000
3.4748 3.4748 3.4748
1.7374 1.7374 5.2122
1.7374 5.2122 1.7374
5.2122 1.7374 1.7374
5.2122 5.2122 5.2122
```

Magnetic moment = 0.01 Bohr magnetons per cell
DFT total energy = -20.36 eV per formula unit
Formation energy from raw total energies = 0.12 eV per atom
Volume = 83.91 Å³/f.u.



(8)
Below is crystalline ScInSi2 at its relaxed geometry, with properties calculated at the PBE level.

Structure (POSCAR):
```
ScInSi2
1.0
6.7969 0.0000 0.0000
0.0000 6.7969 0.0000
0.0000 0.0000 6.7969
Sc In Si
4 4 8
Cartesian
0.0000 0.0000 0.0000
0.0000 3.3985 3.3985
3.3985 0.0000 3.3985
3.3985 3.3985 0.0000
0.0000 0.0000 3.3985
0.0000 3.3985 0.0000
3.3985 0.0000 0.0000
3.3985 3.3985 3.3985
1.6992 1.6992 1.6992
1.6992 1.6992 5.0977
1.6992 5.0977 1.6992
1.6992 5.0977 5.0977
5.0977 1.6992 1.6992
5.0977 1.6992 5.0977
5.0977 5.0977 1.6992
5.0977 5.0977 5.0977
```

Magnetic moment = 0.00 Bohr magnetons per cell
Energy above the lowest structure with this stoichiometry = 321 meV per atom
DFT total energy = -19.30 eV per formula unit
Formation energy from raw total energies = 0.15 eV per atom
Volume = 78.50 Å³/f.u.



(9)
Below is crystalline Sc2InSi at its relaxed geometry, with properties calculated at the PBE level.

Structure (POSCAR):
```
Sc2InSi
1.0
6.2852 0.0000 0.0000
0.0000 8.2031 0.0000
0.0000 0.0000 3.1063
Sc In Si
4 2 2
Cartesian
1.5713 2.0508 0.0000
1.5713 6.1524 0.0000
4.7139 2.0508 0.0000
4.7139 6.1524 0.0000
0.0000 0.0000 1.5531
3.1426 4.1016 1.5531
0.0000 4.1016 1.5531
3.1426 0.0000 1.5531
```

Magnetic moment = 0.01 Bohr magnetons per cell
DFT total energy = -22.44 eV per formula unit
Formation energy from raw total energies = -0.41 eV per atom
Volume = 80.08 Å³/f.u.



(10)
Below is crystalline ScIn2Si at its relaxed geometry, with properties calculated at the PBE level.

Structure (POSCAR):
```
ScIn2Si
1.0
3.0274 0.0000 0.0000
0.0000 4.9513 0.0000
0.0000 0.0000 5.6963
Sc In Si
1 2 1
Cartesian
0.0000 0.0000 0.0000
1.5137 2.4756 1.4085
1.5137 2.4756 4.2879
1.5137 0.0000 2.8482
```

Magnetic moment = 0.00 Bohr magnetons per cell
Energy above the lowest structure with this stoichiometry = 167 meV per atom
DFT total energy = -17.38 eV per formula unit
Formation energy from raw total energies = -0.04 eV per atom
Volume = 85.38 Å³/f.u.



(11)
Below is crystalline ScIn3Si at its relaxed geometry, with properties calculated at the PBE level.

Structure (POSCAR):
```
ScIn3Si
1.0
5.1828 0.0000 0.0000
0.0000 5.1828 0.0000
0.0000 0.0000 5.1828
Sc In Si
1 3 1
Cartesian
0.0000 0.0000 0.0000
0.0000 2.5914 2.5914
2.5914 0.0000 2.5914
2.5914 2.5914 0.0000
2.5914 2.5914 2.5914
```

Magnetic moment = 0.00 Bohr magnetons per cell
Energy above the lowest structure with this stoichiometry = 0 meV per atom
DFT total energy = -17.61 eV per formula unit
Formation energy from raw total energies = 0.47 eV per atom
Volume = 139.22 Å³/f.u.



(12)
Below is crystalline ScIn2Si at its relaxed geometry, with properties calculated at the PBE level.

Structure (POSCAR):
```
ScIn2Si
1.0
8.0421 0.0000 0.0000
0.0000 8.0421 0.0000
0.0000 0.0000 5.6810
Sc In Si
4 8 4
Cartesian
0.0000 0.0000 0.0000
0.0000 4.0210 1.4202
4.0210 0.0000 4.2607
4.0210 4.0210 2.8405
1.6546 6.0315 3.5506
2.0105 1.6546 2.1304
2.0105 2.3664 4.9709
2.3664 6.0315 0.7101
5.6757 2.0105 0.7101
6.0315 5.6757 4.9709
6.0315 6.3874 2.1304
6.3874 2.0105 3.5506
0.0000 0.0000 2.8405
0.0000 4.0210 4.2607
4.0210 0.0000 1.4202
4.0210 4.0210 0.0000
```

Magnetic moment = 0.00 Bohr magnetons per cell
Energy above the lowest structure with this stoichiometry = 156 meV per atom
DFT total energy = -17.42 eV per formula unit
Formation energy from raw total energies = -0.05 eV per atom
Volume = 91.85 Å³/f.u.